No. 1
{
  "formula": "CaZr2Sc",
  "functional": "PBEsol",
  "state": "relaxed",
  "cell": [[-0.4084, 0.9611, -5.0892], [0.0022, -3.9328, -3.3947], [-4.3597, -1.2442, -2.5369]],
  "species": ["Sc", "Ca", "Zr", "Zr"],
  "fractional_positions": [[0.2500, 0.2500, 0.2500], [0.5000, 0.5000, 0.5000], [0.0000, 0.0000, 0.0000], [0.7500, 0.7500, 0.7500]],
  "vol_a3_per_cell": 99.2,
  "dft_energy_ev_per_atom": -6.37,
  "ef_ev_per_atom": 0.36,
  "sg": "F-43m, No. 216",
  "relative_energy_mev_per_atom": 162
}

No. 2
{
  "formula": "CaZr2Sc",
  "functional": "PBEsol",
  "state": "relaxed",
  "cell": [[3.1637, 0.0000, 0.0000], [0.0000, 4.6055, 0.0000], [0.0000, 0.0000, 6.8314]],
  "species": ["Sc", "Ca", "Zr", "Zr"],
  "fractional_positions": [[0.5000, 0.5000, 0.5000], [0.5000, 0.5000, 0.0000], [0.0000, 0.0000, 0.7138], [0.0000, 0.0000, 0.2862]],
  "vol_a3_per_cell": 99.5,
  "dft_energy_ev_per_atom": -6.50,
  "ef_ev_per_atom": 0.23,
  "sg": "Pmmm, No. 47",
  "relative_energy_mev_per_atom": 30
}

No. 3
{
  "formula": "CaZr2Sc",
  "functional": "PBEsol",
  "state": "relaxed",
  "cell": [[3.6958, 0.0000, 0.0000], [0.0000, 3.6958, 0.0000], [0.0000, 0.0000, 7.6943]],
  "species": ["Sc", "Ca", "Zr", "Zr"],
  "fractional_positions": [[0.5000, 0.5000, 0.8018], [0.0000, 0.0000, 0.4781], [0.0000, 0.0000, 0.0295], [0.5000, 0.5000, 0.1907]],
  "vol_a3_per_cell": 105.1,
  "dft_energy_ev_per_atom": -6.53,
  "ef_ev_per_atom": 0.20,
  "sg": "P4mm, No. 99",
  "relative_energy_mev_per_atom": 0
}

No. 4
{
  "formula": "Ca2ZrSc",
  "functional": "PBEsol",
  "state": "relaxed",
  "cell": [[4.6577, 0.0000, 0.0000], [0.0000, 4.6577, 0.0000], [0.0000, 0.0000, 5.2240]],
  "species": ["Sc", "Ca", "Ca", "Zr"],
  "fractional_positions": [[0.5000, 0.5000, 0.5000], [0.0000, 0.5000, 0.0000], [0.5000, 0.0000, 0.0000], [0.0000, 0.0000, 0.5000]],
  "vol_a3_per_cell": 113.3,
  "dft_energy_ev_per_atom": -4.58,
  "ef_ev_per_atom": 0.41,
  "sg": "P4/mmm, No. 123",
  "relative_energy_mev_per_atom": 13
}